# Na2InSe, relaxed, DFT PBE
# Magnetization: 0.00 μB/cell
# ΔE to the lowest computed polymorph: 0.0000 eV per atom
# Uncorrected formation energy: -162 kJ/mol of formula units
# DOS(E_F): 1.61 states/eV per cell
# Space-group type: No. 225
data_Na2InSe
_chemical_formula_sum 'Na2 In1 Se1'
_cell_length_a 5.273
_cell_length_b 5.273
_cell_length_c 5.273
_cell_angle_alpha 60.00
_cell_angle_beta 60.00
_cell_angle_gamma 60.00
_symmetry_space_group_name_H-M 'P 1'
_symmetry_Int_Tables_number 1
_symmetry_space_group_name_Hall 'P 1'
loop_
_atom_site_label
_atom_site_type_symbol
_atom_site_fract_x
_atom_site_fract_y
_atom_site_fract_z
Na1 Na 0.250 0.250 0.250
Na2 Na 0.750 0.750 0.750
In1 In 0.000 0.000 0.000
Se1 Se 0.500 0.500 0.500